1.
## Sr2CaW (PBE)

Data for a relaxed Sr2CaW crystal.

Summary:
- raw total energy (eV/atom) = -3.4183
- crystal system = monoclinic
- excess energy over the best structure of this formula in the dataset (meV/atom) = 254
- DFT formation energy (eV per formula unit) = 4.65

Lattice parameters (Å, degrees): 6.9305 6.5559 3.6058 81.26 76.53 117.68
With the nearest neighbours (Å) after each atom.
Sites, in units of the cell vectors:
Sr 0.0000 0.0000 0.0000  2 Ca 3.49, 2 W 3.49, 4 Sr 3.51-3.61
Sr 0.5000 0.0000 0.5000  2 W 3.49, 2 Ca 3.49, 4 Sr 3.51-3.61
Ca 0.5000 0.5000 0.0000  4 Sr 3.49, 2 W 3.51, 2 Ca 3.61
W 0.0000 0.5000 0.5000  4 Sr 3.49, 2 Ca 3.51, 2 W 3.61



2.
## EuZrAl4 (PBE)

Data for a relaxed EuZrAl4 crystal.

Summary:
- raw total energy (eV/atom) = -6.0109
- crystal system = cubic
- DFT formation energy (eV per formula unit) = -2.27

Lattice parameters (Å, degrees): 5.4988 5.4988 5.4988 60.00 60.00 60.00
With the nearest neighbours (Å) after each atom.
Sites, in units of the cell vectors:
Eu 0.2500 0.2500 0.2500  12 Al 3.22, 4 Zr 3.37
Al 0.6253 0.6253 0.1242  6 Al 2.74-2.76
Al 0.6253 0.1242 0.6253  6 Al 2.74-2.76
Al 0.6253 0.6253 0.6253  6 Al 2.74-2.76
Al 0.1242 0.6253 0.6253  6 Al 2.74-2.76
Zr 0.0000 0.0000 0.0000  12 Al 3.22, 4 Eu 3.37



3.
## TeMo2Br (PBE)

Data for a relaxed TeMo2Br crystal.

Summary:
- raw total energy (eV/atom) = -5.6533
- crystal system = monoclinic
- excess energy over the best structure of this formula in the dataset (meV/atom) = 795
- raw formation energy (eV per atom) = 0.966

Lattice parameters (Å, degrees): 5.7956 5.7956 2.9339 69.56 69.56 102.75
With the nearest neighbours (Å) after each atom.
Sites, in units of the cell vectors:
Mo 0.0000 0.0000 0.0000  2 Br 2.75, 2 Te 2.75, 2 Mo 2.93
Mo 0.5000 0.5000 0.0000  2 Te 2.75, 2 Br 2.75, 2 Mo 2.93
Te 0.5000 0.0000 0.5000  4 Mo 2.75, 2 Te 2.93
Br 0.0000 0.5000 0.5000  4 Mo 2.75, 2 Br 2.93



4.
## MgTc (PBE)

Data for a relaxed MgTc crystal.

Summary:
- raw total energy (eV/atom) = -5.8667
- crystal system = monoclinic
- excess energy over the best structure of this formula in the dataset (meV/atom) = 138
- DFT formation energy (eV per formula unit) = 0.23

Lattice parameters (Å, degrees): 9.6739 2.8632 4.9946 90.00 100.93 90.00
With the nearest neighbours (Å) after each atom.
Sites, in units of the cell vectors:
Mg 0.1462 0.0000 0.7100  7 Mg 2.86-3.19, 3 Tc 2.87-2.89
Mg 0.8538 0.0000 0.2900  7 Mg 2.86-3.19, 3 Tc 2.87-2.89
Mg 0.1462 0.5000 0.2100  7 Mg 2.86-3.19, 3 Tc 2.87-2.89
Mg 0.8538 0.5000 0.7900  7 Mg 2.86-3.19, 3 Tc 2.87-2.89
Tc 0.3948 0.0000 0.1282  9 Tc 2.59-2.88, 3 Mg 2.87-2.89
Tc 0.6052 0.0000 0.8718  9 Tc 2.59-2.88, 3 Mg 2.87-2.89
Tc 0.3948 0.5000 0.6282  9 Tc 2.59-2.88, 3 Mg 2.87-2.89
Tc 0.6052 0.5000 0.3718  9 Tc 2.59-2.88, 3 Mg 2.87-2.89



5.
## KTl2Cd (PBE)

Data for a relaxed KTl2Cd crystal.

Summary:
- raw total energy (eV/atom) = -1.7403
- crystal system = trigonal
- DFT formation energy (eV per formula unit) = -0.22

Lattice parameters (Å, degrees): 5.0807 5.0807 7.0142 68.77 68.77 60.00
With the nearest neighbours (Å) after each atom.
Sites, in units of the cell vectors:
K 0.4930 0.4930 0.5210  1 Cd 3.56, 6 Tl 3.61-3.71
Tl 0.0495 0.0495 0.8514  3 Cd 3.02
Tl 0.2784 0.2784 0.1647  3 Cd 3.20, 3 Tl 3.55
Cd 0.6790 0.6790 0.9629  6 Tl 3.02-3.20



6.
## NbPSeCl2 (PBE)

Data for a relaxed NbPSeCl2 crystal.

Summary:
- raw total energy (eV/atom) = -4.5167
- crystal system = tetragonal
- excess energy over the best structure of this formula in the dataset (meV/atom) = 0
- raw formation energy (eV per atom) = 0.015

Lattice parameters (Å, degrees): 4.6968 4.6968 5.2301 90.00 90.00 90.00
With the nearest neighbours (Å) after each atom.
Sites, in units of the cell vectors:
P 0.0000 0.0000 0.5000  2 Nb 2.62
Nb 0.0000 0.0000 0.0000  4 Cl 2.35, 2 P 2.62
Se 0.5000 0.5000 0.5000  4 P 3.32, 8 Cl 3.51
Cl 0.0000 0.5000 0.0000  2 Nb 2.35
Cl 0.5000 0.0000 0.0000  2 Nb 2.35



7.
## LiNdBeN2 (PBE)

Data for a relaxed LiNdBeN2 crystal.

Summary:
- raw total energy (eV/atom) = -6.2991
- crystal system = monoclinic
- raw formation energy (eV per atom) = -0.887

Lattice parameters (Å, degrees): 3.8000 5.4417 6.2460 100.52 90.00 90.00
With the nearest neighbours (Å) after each atom.
Sites, in units of the cell vectors:
Li 0.4657 0.0000 0.2500  4 N 2.18-2.33, 2 Be 2.36
Li 0.5343 0.0000 0.7500  4 N 2.18-2.33, 2 Be 2.36
Nd 0.2342 0.5000 0.7500  6 N 2.49-2.67
Nd 0.7658 0.5000 0.2500  6 N 2.49-2.67
Be 0.0000 0.0000 0.0000  2 N 1.55
Be 0.0000 0.0000 0.5000  2 N 1.55
N 0.7669 0.7627 0.9579  1 Be 1.55
N 0.7669 0.2373 0.5421  1 Be 1.55
N 0.2331 0.7627 0.4579  1 Be 1.55
N 0.2331 0.2373 0.0421  1 Be 1.55



8.
## Th2In (PBE)

Data for a relaxed Th2In crystal.

Summary:
- raw total energy (eV/atom) = -6.0391
- crystal system = tetragonal
- DFT formation energy (eV per formula unit) = -0.54

Lattice parameters (Å, degrees): 6.2984 6.2984 6.2984 103.19 103.19 122.93
With the nearest neighbours (Å) after each atom.
Sites, in units of the cell vectors:
Th 0.6523 0.1523 0.8045  4 In 3.33, 3 Th 3.37-3.71
Th 0.8477 0.6523 0.5000  4 In 3.33, 3 Th 3.37-3.71
Th 0.1523 0.3477 0.5000  4 In 3.33, 3 Th 3.37-3.71
Th 0.3477 0.8477 0.1955  4 In 3.33, 3 Th 3.37-3.71
In 0.7500 0.7500 0.0000  2 In 3.01, 8 Th 3.33
In 0.2500 0.2500 0.0000  2 In 3.01, 8 Th 3.33



9.
## Er6Rh2AuSe3 (PBE)

Data for a relaxed Er6Rh2AuSe3 crystal.

Summary:
- raw total energy (eV/atom) = -5.9010
- crystal system = monoclinic
- raw formation energy (eV per atom) = -1.250

Lattice parameters (Å, degrees): 6.8516 6.8516 7.4333 98.85 98.85 120.00
With the nearest neighbours (Å) after each atom.
Sites, in units of the cell vectors:
Er 0.9219 0.5708 0.7672  2 Rh 2.76-2.77, 3 Se 2.90-3.02, 1 Au 2.92
Er 0.7247 0.7247 0.2297  2 Rh 2.76, 3 Se 2.88-3.00, 1 Au 2.91
Er 0.0781 0.4292 0.2328  2 Rh 2.76-2.77, 3 Se 2.90-3.02, 1 Au 2.92
Er 0.5708 0.9219 0.7672  2 Rh 2.76-2.77, 3 Se 2.90-3.02, 1 Au 2.92
Er 0.2753 0.2753 0.7703  2 Rh 2.76, 3 Se 2.88-3.00, 1 Au 2.91
Er 0.4292 0.0781 0.2328  2 Rh 2.76-2.77, 3 Se 2.90-3.02, 1 Au 2.92
Rh 0.3321 0.6679 0.0000  6 Er 2.76-2.77
Rh 0.6679 0.3321 0.0000  6 Er 2.76-2.77
Au 0.0000 0.0000 0.0000  6 Er 2.91-2.92
Se 0.1623 0.8377 0.5000  6 Er 2.90-3.02
Se 0.8377 0.1623 0.5000  6 Er 2.90-3.02
Se 0.5000 0.5000 0.5000  6 Er 2.88-3.01



10.
## NdTa2TcC4 (PBE)

Data for a relaxed NdTa2TcC4 crystal.

Summary:
- raw total energy (eV/atom) = -9.6795
- crystal system = orthorhombic
- DFT formation energy (eV per formula unit) = -1.70

Lattice parameters (Å, degrees): 3.2978 5.9496 11.2075 90.00 90.00 106.09
With the nearest neighbours (Å) after each atom.
Sites, in units of the cell vectors:
Nd 0.1027 0.2055 0.7500  6 C 2.55-2.75
Nd 0.8973 0.7945 0.2500  6 C 2.55-2.75
Ta 0.3716 0.7431 0.5382  3 C 2.07-2.25
Ta 0.6284 0.2569 0.0382  3 C 2.07-2.25
Ta 0.6284 0.2569 0.4618  3 C 2.07-2.25
Ta 0.3716 0.7431 0.9618  3 C 2.07-2.25
Tc 0.8380 0.6760 0.7500  4 C 1.95-1.97
Tc 0.1620 0.3240 0.2500  4 C 1.95-1.97
C 0.2627 0.5254 0.1096  1 Tc 1.95, 1 Ta 2.07
C 0.7373 0.4746 0.6096  1 Tc 1.95, 1 Ta 2.07
C 0.7373 0.4746 0.8904  1 Tc 1.95, 1 Ta 2.07
C 0.2627 0.5254 0.3903  1 Tc 1.95, 1 Ta 2.07
C 0.0000 0.0000 0.5000  4 Ta 2.25
C 0.0000 0.0000 0.0000  4 Ta 2.25
C 0.4327 0.8653 0.7500  2 Tc 1.97
C 0.5673 0.1347 0.2500  2 Tc 1.97



11.
## PmAsH2Ir (PBE)

Data for a relaxed PmAsH2Ir crystal.

Summary:
- raw total energy (eV/atom) = -5.5997
- crystal system = orthorhombic

Lattice parameters (Å, degrees): 3.8802 5.4392 6.8870 90.00 90.00 110.90
With the nearest neighbours (Å) after each atom.
Sites, in units of the cell vectors:
Pm 0.7186 0.4372 0.7500  6 H 2.41-2.42
Pm 0.2814 0.5628 0.2500  6 H 2.41-2.42
As 0.4395 0.8790 0.7500  4 Ir 2.67, 3 Pm 2.84-2.97
As 0.5605 0.1210 0.2500  4 Ir 2.67, 3 Pm 2.84-2.97
H 0.1648 0.3296 0.9445  1 Ir 1.72
H 0.8352 0.6704 0.0555  1 Ir 1.72
H 0.1648 0.3296 0.5555  1 Ir 1.72
H 0.8352 0.6704 0.4445  1 Ir 1.72
Ir 0.0000 0.0000 0.0000  2 H 1.72
Ir 0.0000 0.0000 0.5000  2 H 1.72



12.
## BaNiRu2 (PBE)

Data for a relaxed BaNiRu2 crystal.

Summary:
- raw total energy (eV/atom) = -5.5657
- crystal system = tetragonal
- excess energy over the best structure of this formula in the dataset (meV/atom) = 752
- DFT formation energy (eV per formula unit) = 3.99

Lattice parameters (Å, degrees): 4.7274 4.7274 4.7274 119.92 119.92 90.14
With the nearest neighbours (Å) after each atom.
Sites, in units of the cell vectors:
Ba 0.5000 0.5000 0.0000  4 Ni 2.90, 4 Ru 2.90
Ni 0.7500 0.2500 0.5000  4 Ba 2.90, 4 Ru 2.90
Ru 0.0000 0.0000 0.0000  4 Ru 2.90, 4 Ni 2.90
Ru 0.2500 0.7500 0.5000  4 Ba 2.90, 4 Ru 2.90



13.
## Te4PCl (PBE)

Data for a relaxed Te4PCl crystal.

Summary:
- raw total energy (eV/atom) = -2.6863
- crystal system = cubic
- raw formation energy (eV per atom) = 0.618

Lattice parameters (Å, degrees): 6.2248 6.2248 6.2248 60.00 60.00 60.00
With the nearest neighbours (Å) after each atom.
Sites, in units of the cell vectors:
Te 0.8781 0.3740 0.3740  6 Te 3.09-3.14
Te 0.3740 0.3740 0.8781  6 Te 3.09-3.14
Te 0.3740 0.8781 0.3740  6 Te 3.09-3.14
Te 0.3740 0.3740 0.3740  6 Te 3.09-3.14
P 0.0000 0.0000 0.0000  12 Te 3.65, 4 Cl 3.81
Cl 0.7500 0.7500 0.7500  12 Te 3.65, 4 P 3.81



14.
## CaAcTlSi (PBE)

Data for a relaxed CaAcTlSi crystal.

Summary:
- raw total energy (eV/atom) = -3.7804
- crystal system = cubic
- raw formation energy (eV per atom) = -0.306

Lattice parameters (Å, degrees): 5.4931 5.4931 5.4931 60.00 60.00 60.00
With the nearest neighbours (Å) after each atom.
Sites, in units of the cell vectors:
Ac 0.0000 0.0000 0.0000  4 Si 3.36, 4 Tl 3.36
Ca 0.5000 0.5000 0.5000  4 Tl 3.36, 4 Si 3.36
Si 0.2500 0.2500 0.2500  4 Ac 3.36, 4 Ca 3.36
Tl 0.7500 0.7500 0.7500  4 Ac 3.36, 4 Ca 3.36



15.
## HfSeN2F (PBE)

Data for a relaxed HfSeN2F crystal.

Summary:
- raw total energy (eV/atom) = -6.7308
- crystal system = tetragonal
- excess energy over the best structure of this formula in the dataset (meV/atom) = 0
- raw formation energy (eV per atom) = -0.339

Lattice parameters (Å, degrees): 4.2895 4.2895 3.9989 90.00 90.00 90.00
With the nearest neighbours (Å) after each atom.
Sites, in units of the cell vectors:
N 0.0000 0.5000 0.0000  2 Hf 2.14
N 0.5000 0.0000 0.0000  2 Hf 2.14
Hf 0.0000 0.0000 0.0000  2 F 2.00, 4 N 2.14
Se 0.5000 0.5000 0.5000  8 N 2.93, 4 F 3.03
F 0.0000 0.0000 0.5000  2 Hf 2.00



16.
## PmSmCo2 (PBE)

Data for a relaxed PmSmCo2 crystal.

Summary:
- raw total energy (eV/atom) = -5.9210
- crystal system = cubic
- excess energy over the best structure of this formula in the dataset (meV/atom) = 100
- DFT formation energy (eV per formula unit) = 0.00

Lattice parameters (Å, degrees): 4.8491 4.8491 4.8491 60.00 60.00 60.00
With the nearest neighbours (Å) after each atom.
Sites, in units of the cell vectors:
Co 0.2500 0.2500 0.2500  4 Pm 2.97, 4 Sm 2.97
Co 0.7500 0.7500 0.7500  4 Pm 2.97, 4 Sm 2.97
Sm 0.5000 0.5000 0.5000  8 Co 2.97
Pm 0.0000 0.0000 0.0000  8 Co 2.97



17.
## PPt2Cl (PBE)

Data for a relaxed PPt2Cl crystal.

Summary:
- raw total energy (eV/atom) = -5.0934
- crystal system = monoclinic
- excess energy over the best structure of this formula in the dataset (meV/atom) = 0
- raw formation energy (eV per atom) = -0.259

Lattice parameters (Å, degrees): 3.7901 3.7901 7.3484 73.49 73.49 59.82
With the nearest neighbours (Å) after each atom.
Sites, in units of the cell vectors:
Cl 0.4789 0.4789 0.5949  3 Pt 2.58
P 0.2912 0.2912 0.1008  3 Pt 2.27
Pt 0.9908 0.9908 0.0126  3 P 2.27
Pt 0.7392 0.7392 0.7917  3 Cl 2.58, 3 Pt 2.67



18.
## Tl5Cd5Hg6 (PBE)

Data for a relaxed Tl5Cd5Hg6 crystal.

Summary:
- raw total energy (eV/atom) = -1.1277
- crystal system = orthorhombic
- DFT formation energy (eV per formula unit) = 0.18

Lattice parameters (Å, degrees): 6.0572 8.9923 8.9923 119.03 90.00 90.00
With the nearest neighbours (Å) after each atom.
Sites, in units of the cell vectors:
Tl 0.0000 0.7592 0.9909  5 Hg 3.27-3.42, 3 Tl 3.59-3.66, 1 Cd 3.65
Tl 0.0000 0.9909 0.7592  5 Hg 3.27-3.42, 3 Tl 3.59-3.66, 1 Cd 3.65
Tl 0.5000 0.7664 0.7664  5 Hg 3.24-3.53, 2 Tl 3.61
Tl 0.5000 0.2259 0.0029  5 Hg 3.21-3.40, 1 Tl 3.46
Tl 0.5000 0.0029 0.2259  5 Hg 3.21-3.40, 1 Tl 3.46
Cd 0.7508 0.3382 0.6802  2 Cd 3.02-3.04, 6 Hg 3.07-3.18
Cd 0.7508 0.6802 0.3382  2 Cd 3.02-3.04, 6 Hg 3.07-3.18
Cd 0.2492 0.6802 0.3382  2 Cd 3.02-3.04, 6 Hg 3.07-3.18
Cd 0.2492 0.3382 0.6802  2 Cd 3.02-3.04, 6 Hg 3.07-3.18
Cd 0.0000 0.2229 0.2229  3 Hg 3.00-3.15
Hg 0.0000 0.5680 0.5680  5 Cd 3.10-3.15, 2 Tl 3.33, 2 Hg 3.35
Hg 0.0000 0.4023 0.0151  5 Cd 3.00-3.16, 2 Tl 3.27-3.32
Hg 0.0000 0.0151 0.4023  5 Cd 3.00-3.16, 2 Tl 3.27-3.32
Hg 0.5000 0.4108 0.4108  6 Cd 3.18-3.48, 3 Tl 3.21-3.24, 2 Hg 3.35
Hg 0.5000 0.5905 0.0082  4 Cd 3.07-3.11, 5 Tl 3.25-3.42
Hg 0.5000 0.0082 0.5905  4 Cd 3.07-3.11, 5 Tl 3.25-3.42



19.
## HfNbAlCu (PBE)

Data for a relaxed HfNbAlCu crystal.

Summary:
- raw total energy (eV/atom) = -7.0367
- crystal system = cubic
- DFT formation energy (eV per formula unit) = -0.28

Lattice parameters (Å, degrees): 4.5875 4.5875 4.5875 60.00 60.00 60.00
With the nearest neighbours (Å) after each atom.
Sites, in units of the cell vectors:
Nb 0.5000 0.5000 0.5000  4 Cu 2.81, 4 Al 2.81
Hf 0.0000 0.0000 0.0000  4 Al 2.81, 4 Cu 2.81
Al 0.7500 0.7500 0.7500  4 Hf 2.81, 4 Nb 2.81
Cu 0.2500 0.2500 0.2500  4 Hf 2.81, 4 Nb 2.81



20.
## LaMg14Si (PBE)

Data for a relaxed LaMg14Si crystal.

Summary:
- raw total energy (eV/atom) = -2.0070
- crystal system = hexagonal
- excess energy over the best structure of this formula in the dataset (meV/atom) = 48
- raw formation energy (eV per atom) = 0.035

Lattice parameters (Å, degrees): 6.5077 6.5077 10.2539 90.00 90.00 120.00
With the nearest neighbours (Å) after each atom.
Sites, in units of the cell vectors:
La 0.0000 0.0000 0.0000  12 Mg 3.26-3.31
Mg 0.0170 0.5085 0.0000  10 Mg 3.09-3.42, 2 La 3.26
Mg 0.9885 0.4942 0.5000  10 Mg 3.07-3.37, 2 Si 3.25
Mg 0.4915 0.9830 0.0000  10 Mg 3.09-3.42, 2 La 3.26
Mg 0.5058 0.0115 0.5000  10 Mg 3.07-3.37, 2 Si 3.25
Mg 0.4915 0.5085 0.0000  10 Mg 3.09-3.42, 2 La 3.26
Mg 0.5058 0.4942 0.5000  10 Mg 3.07-3.37, 2 Si 3.25
Mg 0.1640 0.8360 0.2674  1 Si 3.02, 10 Mg 3.07-3.31, 1 La 3.31
Mg 0.1640 0.8360 0.7326  1 Si 3.02, 10 Mg 3.07-3.31, 1 La 3.31
Mg 0.1640 0.3279 0.2674  1 Si 3.02, 10 Mg 3.07-3.31, 1 La 3.31
Mg 0.1640 0.3279 0.7326  1 Si 3.02, 10 Mg 3.07-3.31, 1 La 3.31
Mg 0.6721 0.8360 0.2674  1 Si 3.02, 10 Mg 3.07-3.31, 1 La 3.31
Mg 0.6721 0.8360 0.7326  1 Si 3.02, 10 Mg 3.07-3.31, 1 La 3.31
Mg 0.6667 0.3333 0.2374  12 Mg 3.13-3.27
Mg 0.6667 0.3333 0.7626  12 Mg 3.13-3.27
Si 0.0000 0.0000 0.5000  12 Mg 3.02-3.25